VASP calculation (GGA-PBE) on an optimized crystal structure of InMo2Os.

Geometry as POSCAR:
```
InMo2Os
1.0
-2.123 -1.020 1.606
-2.285 -0.590 -3.396
2.099 -5.176 -0.513
Mo Os In
2 1 1
Direct
0.000 0.000 0.475 Mo
0.000 0.000 0.025 Mo
0.500 0.500 0.250 Os
0.500 0.500 0.750 In
```

Calculated values
The density of states at the Fermi level comes out at 2.48 states/eV/f.u. As for the formation energy: 0.244 eV/atom. The total energy is -34.65 eV per cell. As for the space group: Pmmm.